# Pm3NdZn2 | OQMD | PBE-GGA | optimized geometry
# Total moment, μB per cell: 0.09
# Uncorrected energy, hartree per atom: -0.140
# Volume, Å³ per cell: 167
data_Pm3NdZn2
_chemical_formula_sum 'Pm3 Nd1 Zn2'
_space_group_name_H-M_alt 'P 4/m m m'
_space_group_IT_number 123
_space_group_name_Hall '-P 4 2'
_cell_length_a 3.660
_cell_length_b 3.660
_cell_length_c 12.450
_cell_angle_alpha 90.00
_cell_angle_beta 90.00
_cell_angle_gamma 90.00
loop_
_atom_site_label
_atom_site_fract_x
_atom_site_fract_y
_atom_site_fract_z
_atom_site_occupancy
Pm1 0.000 0.000 0.000 1
Pm2 0.000 0.000 0.289 1
Nd1 0.500 0.500 0.500 1
Zn1 0.500 0.500 0.145 1